1.
Below is an optimized crystal structure of Ti2AlNi6, with properties calculated at the PBE-GGA level.

Structure (extended XYZ):
```
9
Lattice="-1.307 3.768 5.673 1.307 -3.768 5.673 1.307 3.768 -5.673" Properties=species:S:1:pos:R:3 pbc="T T T"
Ti 0.000 0.000 1.746
Ti 0.000 0.000 9.601
Al 0.000 3.768 0.000
Ni 1.307 -1.272 3.665
Ni 1.307 1.498 0.000
Ni 1.307 1.272 3.665
Ni 0.000 2.497 2.008
Ni 0.000 2.271 5.673
Ni 0.000 5.040 2.008
```

Results
Energy relative to the lowest polymorph listed for this composition: 0.050 eV per atom
Energy relative to the elements: -284 meV/atom


2.
Below is an optimized crystal structure of KCu3NiSe4, with properties calculated at the PBE-GGA level.

Structure (extended XYZ):
```
9
Lattice="6.028 0.000 0.000 0.000 6.028 0.000 0.000 0.000 6.028" Properties=species:S:1:pos:R:3 pbc="T T T"
K 0.000 0.000 0.000
Cu 0.000 3.014 3.014
Cu 3.014 0.000 3.014
Cu 3.014 3.014 0.000
Ni 3.014 3.014 3.014
Se 1.694 1.694 4.334
Se 1.694 4.334 1.694
Se 4.334 1.694 1.694
Se 4.334 4.334 4.334
```

Results
Formation energy without anion corrections: -0.23 eV per atom


3.
Below is an optimized crystal structure of BaLa3Pd, with properties calculated at the PBE-GGA level.

Structure (extended XYZ):
```
5
Lattice="5.838 0.000 0.000 0.000 5.838 0.000 0.000 0.000 5.838" Properties=species:S:1:pos:R:3 pbc="T T T"
Ba 0.000 0.000 0.000
La 0.000 0.000 2.919
La 0.000 2.919 0.000
La 2.919 0.000 0.000
Pd 2.919 2.919 2.919
```

Results
Energy relative to the lowest polymorph listed for this composition: 1.110 eV per atom
Energy relative to the elements: 957 meV/atom


4.
Below is an optimized crystal structure of LaTl2Cl5, with properties calculated at the PBE-GGA level.

Structure (extended XYZ):
```
32
Lattice="13.213 0.000 0.000 0.000 8.972 0.000 0.000 0.000 8.285" Properties=species:S:1:pos:R:3 pbc="T T T"
La 0.061 2.243 0.610
La 6.545 6.729 4.752
La 6.668 2.243 3.533
La 13.151 6.729 7.676
Tl 2.282 0.025 4.497
Tl 2.282 4.460 4.497
Tl 4.324 4.511 0.355
Tl 4.324 8.946 0.355
Tl 8.888 0.025 7.931
Tl 8.888 4.460 7.931
Tl 10.931 4.511 3.788
Tl 10.931 8.946 3.788
Cl 0.118 2.243 3.462
Cl 1.029 4.862 1.333
Cl 1.029 8.595 1.333
Cl 2.357 2.243 7.256
Cl 2.681 6.729 6.932
Cl 3.926 2.243 2.789
Cl 4.249 6.729 3.113
Cl 5.578 0.376 5.475
Cl 5.578 4.109 5.475
Cl 6.488 6.729 7.604
Cl 6.724 2.243 0.681
Cl 7.635 4.862 2.810
Cl 7.635 8.595 2.810
Cl 8.964 2.243 5.172
Cl 9.287 6.729 5.496
Cl 10.532 2.243 1.353
Cl 10.855 6.729 1.030
Cl 12.184 0.376 6.952
Cl 12.184 4.109 6.952
Cl 13.095 6.729 4.823
```

Results
Formation energy without anion corrections: -1.74 eV per atom


5.
Below is an optimized crystal structure of Dy8InSb2, with properties calculated at the PBE-GGA level.

Structure (extended XYZ):
```
11
Lattice="9.592 -2.492 0.000 9.592 2.492 0.000 -1.383 0.000 6.830" Properties=species:S:1:pos:R:3 pbc="T T T"
Dy -0.013 0.000 1.762
Dy 2.958 0.000 5.757
Dy 5.819 0.000 3.292
Dy 7.787 0.000 0.106
Dy 10.013 0.000 6.724
Dy 11.981 0.000 3.537
Dy 14.842 0.000 1.073
Dy 17.813 0.000 5.067
In 8.900 0.000 3.415
Sb 3.082 0.000 1.824
Sb 14.719 0.000 5.006
```

Results
Formation energy without anion corrections: -0.40 eV per atom


6.
Below is an optimized crystal structure of MnGa4, with properties calculated at the PBE-GGA level.

Structure (extended XYZ):
```
5
Lattice="-2.794 2.794 2.794 2.794 -2.794 2.794 2.794 2.794 -2.794" Properties=species:S:1:pos:R:3 pbc="T T T"
Mn 0.000 0.000 0.000
Ga 1.397 1.397 -1.397
Ga 1.397 -1.397 1.397
Ga -1.397 1.397 1.397
Ga 1.397 1.397 1.397
```

Results
Energy relative to the lowest polymorph listed for this composition: 0.000 eV per atom
Energy relative to the elements: -173 meV/atom


7.
Below is an optimized crystal structure of CePm10Nd4, with properties calculated at the PBE-GGA level.

Structure (extended XYZ):
```
15
Lattice="-5.721 5.721 4.042 5.721 -5.721 4.042 5.721 5.721 -4.042" Properties=species:S:1:pos:R:3 pbc="T T T"
Ce 0.000 0.000 0.000
Pm 5.721 3.327 -1.687
Pm 5.721 0.000 2.021
Pm 3.327 5.721 -1.687
Pm 2.394 0.000 2.355
Pm 5.721 3.327 1.687
Pm 0.000 2.394 2.355
Pm 3.327 5.721 1.687
Pm 2.394 0.000 5.729
Pm 0.000 5.721 2.021
Pm 0.000 2.394 5.729
Nd 2.589 2.589 0.000
Nd 3.132 -3.132 4.042
Nd -3.132 3.132 4.042
Nd 3.132 3.132 4.042
```

Results
Energy relative to the elements: 233 meV/atom


8.
Below is an optimized crystal structure of LiDy2Ga6Tc, with properties calculated at the PBE-GGA level.

Structure (extended XYZ):
```
10
Lattice="6.056 -2.724 0.000 6.056 2.724 0.000 -4.114 0.000 6.353" Properties=species:S:1:pos:R:3 pbc="T T T"
Li 0.000 0.000 0.000
Dy -1.237 0.000 4.755
Dy 9.234 0.000 1.598
Ga 2.010 1.296 4.102
Ga 2.049 0.000 1.428
Ga 5.988 1.296 2.251
Ga 2.010 -1.296 4.102
Ga 5.948 0.000 4.925
Ga 5.988 -1.296 2.251
Tc 3.999 0.000 3.177
```

Results
Energy relative to the elements: -258 meV/atom


9.
Below is an optimized crystal structure of Ba2MoAu, with properties calculated at the PBE-GGA level.

Structure (extended XYZ):
```
4
Lattice="3.783 0.000 0.000 0.000 3.783 0.000 0.000 0.000 9.586" Properties=species:S:1:pos:R:3 pbc="T T T"
Ba 0.000 0.000 0.000
Ba 1.891 1.891 3.972
Mo 0.000 0.000 6.475
Au 1.891 1.891 7.266
```

Results
Energy relative to the lowest polymorph listed for this composition: 0.104 eV per atom
Energy relative to the elements: 464 meV/atom


10.
Below is an optimized crystal structure of Ca2TaRe, with properties calculated at the PBE-GGA level.

Structure (extended XYZ):
```
4
Lattice="1.715 0.990 10.229 -1.715 0.990 10.229 0.000 -1.981 10.229" Properties=species:S:1:pos:R:3 pbc="T T T"
Ca 0.000 0.000 0.000
Ca 0.000 0.000 6.816
Ta 0.000 0.000 14.226
Re 0.000 0.000 22.862
```

Results
Energy relative to the lowest polymorph listed for this composition: 0.271 eV per atom
Energy relative to the elements: 510 meV/atom


11.
Below is an optimized crystal structure of TaCr3As, with properties calculated at the PBE-GGA level.

Structure (extended XYZ):
```
5
Lattice="4.724 0.000 0.000 0.000 4.724 0.000 0.000 0.000 4.724" Properties=species:S:1:pos:R:3 pbc="T T T"
Ta 0.000 0.000 0.000
Cr 0.000 0.000 2.362
Cr 0.000 2.362 0.000
Cr 2.362 0.000 0.000
As 2.362 2.362 2.362
```

Results
Energy relative to the lowest polymorph listed for this composition: 0.675 eV per atom
Energy relative to the elements: 1597 meV/atom


12.
Below is an optimized crystal structure of AsH2Rh, with properties calculated at the PBE-GGA level.

Structure (extended XYZ):
```
8
Lattice="-2.122 2.122 4.738 2.122 -2.122 4.738 2.122 2.122 -4.738" Properties=species:S:1:pos:R:3 pbc="T T T"
As 0.000 0.000 0.000
As 0.000 2.122 2.369
H 1.061 -0.575 3.554
H 1.547 1.061 1.185
H 1.061 2.697 -1.185
H 0.575 1.061 5.923
Rh 2.122 0.000 2.369
Rh 0.000 0.000 4.738
```

Results
Energy relative to the lowest polymorph listed for this composition: 0.000 eV per atom


no.,VASP energy (eV/cell)
1,-56.8
2,-35.1
3,-17.1
4,-131.3
5,-52.2
6,-22.1
7,-69.0
8,-42.2
9,-16.1
10,-26.3
11,-37.4
12,-35.2